(1)
A plane-wave DFT calculation with GGA-PBE was carried out for an optimized crystal structure of Tb2Pr6Mg.

a b c (Å): 6.229 11.709 11.709
angles (deg): 48.21 105.46 105.46
Fractional coordinates of all 18 atoms:
Tb 0.445 0.829 0.671
Tb 0.055 0.329 0.171
Tb 0.555 0.171 0.329
Tb 0.945 0.671 0.829
Pr 0.429 0.654 0.504
Pr 0.071 0.496 0.346
Pr 0.571 0.346 0.496
Pr 0.929 0.504 0.654
Pr 0.919 0.919 0.419
Pr 0.581 0.581 0.081
Pr 0.081 0.081 0.581
Pr 0.419 0.419 0.919
Pr 0.271 0.847 0.995
Pr 0.229 0.005 0.153
Pr 0.729 0.153 0.005
Pr 0.771 0.995 0.847
Mg 0.250 0.250 0.750
Mg 0.750 0.750 0.250

## Properties
Formation energy: 0.057 eV per atom
DOS(E_F): 1.30 states/eV/atom
Magnetic moment: 0.00 μB per cell
Space-group type: Ibam

(2)
A plane-wave DFT calculation with GGA-PBE was carried out for an optimized crystal structure of Tb10Pr4Mg.

a b c (Å): 10.598 8.771 8.771
angles (deg): 68.59 52.83 52.83
Fractional coordinates of all 15 atoms:
Tb 0.250 0.500 0.500
Tb 0.551 0.322 0.899
Tb 0.127 0.101 0.322
Tb 0.550 0.899 0.678
Tb 0.772 0.678 0.101
Tb 0.449 0.678 0.101
Tb 0.750 0.500 0.500
Tb 0.228 0.322 0.899
Tb 0.450 0.101 0.322
Tb 0.873 0.899 0.678
Pr 0.328 0.741 0.603
Pr 0.931 0.397 0.741
Pr 0.069 0.603 0.259
Pr 0.672 0.259 0.397
Mg 0.000 0.000 0.000

## Properties
Formation energy: 0.349 eV per atom
DOS(E_F): 1.70 states/eV/atom
Magnetic moment: 0.00 μB per cell
Space-group type: I4/m

(3)
A plane-wave DFT calculation with GGA-PBE was carried out for an optimized crystal structure of Tb2Pr2Mg.

a b c (Å): 3.659 3.659 12.290
angles (deg): 98.56 98.56 90.00
Fractional coordinates of all 5 atoms:
Tb 0.801 0.801 0.603
Tb 0.199 0.199 0.397
Pr 0.594 0.594 0.187
Pr 0.406 0.406 0.813
Mg 0.000 0.000 0.000

## Properties
Formation energy: -0.025 eV per atom
DOS(E_F): 1.18 states/eV/atom
Magnetic moment: 0.00 μB per cell
Space-group type: I4/mmm

(4)
A plane-wave DFT calculation with GGA-PBE was carried out for an optimized crystal structure of Tb5Pr3Mg2.

a b c (Å): 6.451 10.781 10.781
angles (deg): 95.42 72.59 72.59
Fractional coordinates of all 20 atoms:
Tb 0.250 0.500 0.500
Tb 0.750 0.500 0.500
Tb 0.502 0.748 0.748
Tb 0.998 0.252 0.252
Tb 0.498 0.252 0.252
Tb 0.002 0.748 0.748
Tb 0.149 0.511 0.191
Tb 0.851 0.489 0.809
Tb 0.649 0.191 0.511
Tb 0.351 0.809 0.489
Pr 0.250 0.000 0.000
Pr 0.750 0.000 0.000
Pr 0.398 0.366 0.839
Pr 0.602 0.634 0.161
Pr 0.898 0.839 0.366
Pr 0.102 0.161 0.634
Mg 0.139 0.710 0.011
Mg 0.861 0.290 0.989
Mg 0.639 0.011 0.710
Mg 0.361 0.989 0.290

## Properties
Formation energy: 0.257 eV per atom
DOS(E_F): 1.44 states/eV/atom
Magnetic moment: 0.00 μB per cell
Space-group type: Ibam

(5)
A plane-wave DFT calculation with GGA-PBE was carried out for an optimized crystal structure of Tb5PrMg3.

a b c (Å): 7.322 7.322 12.180
angles (deg): 78.67 78.67 76.85
Fractional coordinates of all 18 atoms:
Tb 0.997 0.361 0.205
Tb 0.311 0.689 0.000
Tb 0.725 0.725 0.069
Tb 0.586 0.586 0.373
Tb 0.414 0.414 0.627
Tb 0.275 0.275 0.931
Tb 0.361 0.997 0.205
Tb 0.689 0.311 0.000
Tb 0.003 0.639 0.795
Tb 0.639 0.003 0.795
Pr 0.118 0.118 0.734
Pr 0.882 0.882 0.266
Mg 0.575 0.575 0.786
Mg 0.736 0.736 0.565
Mg 0.000 0.000 0.000
Mg 0.000 0.000 0.500
Mg 0.425 0.425 0.214
Mg 0.264 0.264 0.435

## Properties
Formation energy: 0.349 eV per atom
DOS(E_F): 1.24 states/eV/atom
Magnetic moment: 0.00 μB per cell
Space-group type: C2/m

(6)
A plane-wave DFT calculation with GGA-PBE was carried out for an optimized crystal structure of TbPr4Mg2.

a b c (Å): 5.682 5.682 9.608
angles (deg): 72.80 72.80 60.00
Fractional coordinates of all 7 atoms:
Tb 0.000 0.000 0.000
Pr 0.370 0.370 0.890
Pr 0.242 0.242 0.274
Pr 0.758 0.758 0.726
Pr 0.630 0.630 0.110
Mg 0.120 0.120 0.639
Mg 0.880 0.880 0.361

## Properties
Formation energy: 0.251 eV per atom
DOS(E_F): 1.40 states/eV/atom
Magnetic moment: 0.00 μB per cell
Space-group type: R-3m

(7)
A plane-wave DFT calculation with GGA-PBE was carried out for an optimized crystal structure of Tb2PrMg.

a b c (Å): 3.489 3.489 12.612
angles (deg): 82.05 82.05 60.00
Fractional coordinates of all 4 atoms:
Pr 0.500 0.500 0.500
Mg 0.000 0.000 0.000
Tb 0.088 0.088 0.736
Tb 0.912 0.912 0.264

## Properties
Formation energy: 0.220 eV per atom
DOS(E_F): 1.18 states/eV/atom
Magnetic moment: 0.00 μB per cell
Space-group type: R-3m

(8)
A plane-wave DFT calculation with GGA-PBE was carried out for an optimized crystal structure of Tb6Pr5Mg.

a b c (Å): 5.120 9.509 9.509
angles (deg): 106.40 105.60 105.60
Fractional coordinates of all 12 atoms:
Pr 0.500 0.166 0.834
Pr 0.000 0.334 0.666
Pr 0.500 0.500 0.500
Pr 0.000 0.666 0.334
Pr 0.500 0.834 0.166
Mg 0.000 0.000 0.000
Tb 0.248 0.082 0.413
Tb 0.752 0.587 0.918
Tb 0.750 0.250 0.250
Tb 0.250 0.750 0.750
Tb 0.248 0.413 0.082
Tb 0.752 0.918 0.587

## Properties
Formation energy: 0.022 eV per atom
DOS(E_F): 1.41 states/eV/atom
Magnetic moment: 0.00 μB per cell
Space-group type: Immm

(9)
A plane-wave DFT calculation with GGA-PBE was carried out for an optimized crystal structure of Tb2PrMg.

a b c (Å): 5.026 4.949 4.949
angles (deg): 90.00 90.00 90.00
Fractional coordinates of all 4 atoms:
Pr 0.500 0.500 0.500
Mg 0.500 0.000 0.000
Tb 0.000 0.000 0.500
Tb 0.000 0.500 0.000

## Properties
Formation energy: 0.014 eV per atom
DOS(E_F): 1.67 states/eV/atom
Magnetic moment: 0.00 μB per cell
Space-group type: P4/mmm

(10)
A plane-wave DFT calculation with GGA-PBE was carried out for an optimized crystal structure of Tb3Pr2Mg.

a b c (Å): 9.024 9.024 12.009
angles (deg): 63.14 153.68 114.11
Fractional coordinates of all 12 atoms:
Tb 0.677 0.660 0.506
Tb 0.323 0.340 0.494
Tb 0.654 0.171 0.994
Tb 0.840 0.090 0.750
Tb 0.346 0.829 0.006
Tb 0.160 0.910 0.250
Pr 0.746 0.116 0.377
Pr 0.254 0.884 0.623
Pr 0.761 0.631 0.877
Pr 0.239 0.369 0.123
Mg 0.822 0.572 0.250
Mg 0.178 0.428 0.750

## Properties
Formation energy: 0.043 eV per atom
DOS(E_F): 1.40 states/eV/atom
Magnetic moment: 0.00 μB per cell
Space-group type: Imma

(11)
A plane-wave DFT calculation with GGA-PBE was carried out for an optimized crystal structure of Tb4PrMg.

a b c (Å): 3.621 3.621 14.306
angles (deg): 90.00 90.00 90.00
Fractional coordinates of all 6 atoms:
Tb 0.500 0.500 0.181
Tb 0.000 0.000 0.649
Tb 0.000 0.000 0.351
Tb 0.500 0.500 0.819
Pr 0.000 0.000 0.000
Mg 0.500 0.500 0.500

## Properties
Formation energy: -0.013 eV per atom
DOS(E_F): 1.35 states/eV/atom
Magnetic moment: 0.00 μB per cell
Space-group type: P4/mmm

(12)
A plane-wave DFT calculation with GGA-PBE was carried out for an optimized crystal structure of TbPrMg4.

a b c (Å): 5.282 6.256 6.259
angles (deg): 94.09 65.04 65.03
Fractional coordinates of all 6 atoms:
Tb 0.000 0.000 0.000
Pr 0.500 0.500 0.500
Mg 0.749 0.585 0.918
Mg 0.251 0.415 0.082
Mg 0.251 0.082 0.415
Mg 0.749 0.918 0.585

## Properties
Formation energy: -0.085 eV per atom
DOS(E_F): 0.86 states/eV/atom
Magnetic moment: 0.00 μB per cell
Space-group type: Immm

(13)
A plane-wave DFT calculation with GGA-PBE was carried out for an optimized crystal structure of TbPrMg4.

a b c (Å): 3.474 7.191 8.672
angles (deg): 123.08 78.45 76.02
Fractional coordinates of all 6 atoms:
Tb 0.500 0.500 0.500
Pr 0.000 0.000 0.000
Mg 0.844 0.478 0.834
Mg 0.333 0.992 0.343
Mg 0.156 0.522 0.166
Mg 0.667 0.008 0.657

## Properties
Formation energy: -0.050 eV per atom
DOS(E_F): 1.19 states/eV/atom
Magnetic moment: 0.00 μB per cell
Space-group type: C2/m

(14)
A plane-wave DFT calculation with GGA-PBE was carried out for an optimized crystal structure of Tb7Pr3Mg.

a b c (Å): 8.697 7.061 7.061
angles (deg): 120.00 90.00 90.00
Fractional coordinates of all 11 atoms:
Tb 0.123 0.167 0.833
Tb 0.123 0.167 0.334
Tb 0.119 0.667 0.333
Tb 0.444 0.831 0.169
Tb 0.444 0.338 0.169
Tb 0.444 0.831 0.662
Tb 0.123 0.666 0.833
Pr 0.784 0.501 0.499
Pr 0.784 0.501 0.002
Pr 0.784 0.998 0.499
Mg 0.442 0.333 0.667

## Properties
Formation energy: 0.175 eV per atom
DOS(E_F): 1.45 states/eV/atom
Magnetic moment: 0.00 μB per cell
Space-group type: P3m1

(15)
A plane-wave DFT calculation with GGA-PBE was carried out for an optimized crystal structure of TbPr6Mg5.

a b c (Å): 5.568 7.871 8.858
angles (deg): 90.00 108.31 90.00
Fractional coordinates of all 12 atoms:
Pr 0.832 0.747 0.659
Pr 0.832 0.253 0.659
Pr 0.500 0.262 0.000
Pr 0.500 0.738 0.000
Pr 0.168 0.747 0.341
Pr 0.168 0.253 0.341
Mg 0.664 0.500 0.334
Mg 0.341 0.000 0.677
Mg 0.000 0.500 0.000
Mg 0.659 0.000 0.323
Mg 0.336 0.500 0.666
Tb 0.000 0.000 0.000

## Properties
Formation energy: -0.063 eV per atom
DOS(E_F): 1.14 states/eV/atom
Magnetic moment: 0.00 μB per cell
Space-group type: P2/m

(16)
A plane-wave DFT calculation with GGA-PBE was carried out for an optimized crystal structure of TbPr5Mg.

a b c (Å): 9.750 6.575 12.057
angles (deg): 75.99 90.00 137.85
Fractional coordinates of all 14 atoms:
Tb 0.494 0.000 0.250
Tb 0.506 0.000 0.750
Pr 0.020 0.413 0.156
Pr 0.773 0.229 0.464
Pr 0.393 0.413 0.656
Pr 0.137 0.000 0.250
Pr 0.544 0.771 0.036
Pr 0.456 0.229 0.964
Pr 0.863 0.000 0.750
Pr 0.607 0.587 0.344
Pr 0.227 0.771 0.536
Pr 0.980 0.587 0.844
Mg 0.000 0.000 0.000
Mg 0.000 0.000 0.500

## Properties
Formation energy: 0.100 eV per atom
DOS(E_F): 1.25 states/eV/atom
Magnetic moment: 0.00 μB per cell
Space-group type: C2/c

(17)
A plane-wave DFT calculation with GGA-PBE was carried out for an optimized crystal structure of Tb3PrMg6.

a b c (Å): 5.321 9.324 11.361
angles (deg): 106.18 90.00 90.00
Fractional coordinates of all 20 atoms:
Tb 0.250 0.542 0.395
Tb 0.750 0.458 0.605
Tb 0.250 0.352 0.798
Tb 0.750 0.648 0.202
Tb 0.250 0.752 0.002
Tb 0.750 0.248 0.998
Pr 0.250 0.946 0.606
Pr 0.750 0.054 0.394
Mg 0.250 0.443 0.100
Mg 0.750 0.557 0.900
Mg 0.250 0.148 0.195
Mg 0.750 0.852 0.805
Mg 0.250 0.655 0.706
Mg 0.750 0.345 0.294
Mg 0.250 0.250 0.494
Mg 0.750 0.750 0.506
Mg 0.250 0.852 0.297
Mg 0.750 0.148 0.703
Mg 0.250 0.050 0.905
Mg 0.750 0.950 0.095

## Properties
Formation energy: -0.075 eV per atom
DOS(E_F): 0.98 states/eV/atom
Magnetic moment: 0.00 μB per cell
Space-group type: P2_1/m

(18)
A plane-wave DFT calculation with GGA-PBE was carried out for an optimized crystal structure of TbPr2Mg5.

a b c (Å): 5.268 5.268 8.752
angles (deg): 107.52 107.52 90.00
Fractional coordinates of all 8 atoms:
Tb 0.000 0.000 0.000
Pr 0.740 0.740 0.481
Pr 0.260 0.260 0.519
Mg 0.500 0.500 0.000
Mg 0.886 0.386 0.771
Mg 0.386 0.886 0.771
Mg 0.114 0.614 0.229
Mg 0.614 0.114 0.229

## Properties
Formation energy: -0.083 eV per atom
DOS(E_F): 1.05 states/eV/atom
Magnetic moment: 0.00 μB per cell
Space-group type: I4/mmm

(19)
A plane-wave DFT calculation with GGA-PBE was carried out for an optimized crystal structure of Tb2Pr7Mg2.

a b c (Å): 5.929 8.229 8.229
angles (deg): 85.88 74.31 74.31
Fractional coordinates of all 11 atoms:
Tb 0.500 0.221 0.779
Tb 0.500 0.779 0.221
Pr 0.188 0.014 0.598
Pr 0.812 0.402 0.986
Pr 0.812 0.986 0.402
Pr 0.188 0.598 0.014
Pr 0.000 0.000 0.000
Pr 0.662 0.766 0.766
Pr 0.338 0.234 0.234
Mg 0.780 0.440 0.440
Mg 0.220 0.560 0.560

## Properties
Formation energy: 0.127 eV per atom
DOS(E_F): 1.15 states/eV/atom
Magnetic moment: 0.00 μB per cell
Space-group type: C2/m

(20)
A plane-wave DFT calculation with GGA-PBE was carried out for an optimized crystal structure of Tb2Pr7Mg2.

a b c (Å): 7.999 6.219 7.999
angles (deg): 75.35 85.80 104.65
Fractional coordinates of all 11 atoms:
Tb 0.207 0.590 0.793
Tb 0.793 0.410 0.207
Pr 0.421 0.190 0.061
Pr 0.061 0.810 0.421
Pr 0.579 0.810 0.939
Pr 0.939 0.190 0.579
Pr 0.421 0.203 0.579
Pr 0.000 0.000 0.000
Pr 0.579 0.797 0.421
Mg 0.775 0.500 0.775
Mg 0.225 0.500 0.225

## Properties
Formation energy: 0.104 eV per atom
DOS(E_F): 1.19 states/eV/atom
Magnetic moment: 0.00 μB per cell
Space-group type: C2/m